Tl7Sb2Au2 PBE relaxed; SG = C2/m (12); electronic total energy = -30.8 eV for the cell shown
1.0
-4.9573 -3.6198 0.0195
1.1754 0.8891 -7.9319
5.6067 -5.1223 2.7230
Tl Sb Au
7 2 2
Direct
0.1934 0.9437 0.3985
0.8066 0.6015 0.0563
0.8066 0.0563 0.6015
0.1934 0.3985 0.9437
0.0000 0.0000 0.0000
0.7404 0.3051 0.3051
0.2596 0.6949 0.6949
0.5000 0.6566 0.3434
0.5000 0.3434 0.6566
0.7622 0.6876 0.6876
0.2378 0.3124 0.3124



Ta2SbRu2 PBE relaxed; SG = P4/mbm (127); energy above the most stable polymorph in this dataset = 0.000 eV per atom
1.0
-1.5340 -3.0739 -6.8125
6.8303 -3.4000 -0.0039
-1.2075 -2.4273 1.3671
Sb Ru Ta
2 4 4
Direct
0.0000 0.0000 0.0000
0.5000 0.5000 0.0000
0.3646 0.8646 0.0000
0.8646 0.6354 0.0000
0.6354 0.1354 0.0000
0.1354 0.3646 0.0000
0.1544 0.6544 0.5000
0.6544 0.8456 0.5000
0.8456 0.3456 0.5000
0.3456 0.1544 0.5000



Sn2Sb2Mo PBE relaxed; SG = P4/mbm (127); electronic total energy = -50.3 eV for the cell shown
1.0
7.1190 0.0000 0.0000
0.0000 7.1190 0.0000
0.0000 0.0000 5.1360
Sb Mo Sn
4 2 4
Direct
0.3494 0.8494 0.0000
0.8494 0.6506 0.0000
0.6506 0.1506 0.0000
0.1506 0.3494 0.0000
0.0000 0.0000 0.0000
0.5000 0.5000 0.0000
0.1673 0.6673 0.5000
0.6673 0.8327 0.5000
0.8327 0.3327 0.5000
0.3327 0.1673 0.5000



Ti2ZnH PBE relaxed; SG = P4/mmm (123); energy above the most stable polymorph in this dataset = 0.280 eV per atom
1.0
2.7407 0.0000 0.0000
0.0000 2.7407 0.0000
0.0000 0.0000 6.6188
H Zn Ti
1 1 2
Direct
0.5000 0.5000 0.0000
0.5000 0.5000 0.5000
0.0000 0.0000 0.8047
0.0000 0.0000 0.1953



CePr2Sb3Pt4 PBE relaxed; SG = P-4m2 (115); electronic total energy = -61.0 eV for the cell shown
1.0
-0.5496 -1.4067 4.3378
-0.5491 -4.3170 -1.4695
11.2521 -1.7259 0.8659
Ce Pr Sb Pt
1 2 3 4
Direct
0.5000 0.5000 0.5000
0.5000 0.0000 0.2100
0.0000 0.5000 0.7900
0.0000 0.0000 0.5000
0.5000 0.0000 0.8730
0.0000 0.5000 0.1270
0.5000 0.5000 0.0000
0.0000 0.0000 0.0000
0.5000 0.0000 0.6458
0.0000 0.5000 0.3542



YGeW PBE relaxed; SG = P4/nmm (129); formation energy = -1.220 eV/f.u.
1.0
-3.7158 -1.0013 -0.8103
1.0895 -1.1229 -3.6081
1.3587 -7.1833 2.6459
Ge Y W
2 2 2
Direct
0.5000 0.0000 0.7405
0.0000 0.5000 0.2595
0.5000 0.0000 0.1452
0.0000 0.5000 0.8548
0.5000 0.5000 0.5000
0.0000 0.0000 0.5000



Tb4ZnAu PBE relaxed; SG = P4/mmm (123); formation energy = -1.291 eV/f.u.
1.0
4.9686 0.0001 -0.0021
-0.0001 4.9687 -0.0029
0.0027 0.0043 7.0533
Tb Zn Au
4 1 1
Direct
0.5013 0.9971 0.2486
0.5014 0.9974 0.7477
0.0014 0.4974 0.7477
0.0012 0.4971 0.2486
0.0013 0.9974 0.4981
0.5013 0.4973 0.9981



CaAc2Pm3As6 PBE relaxed; SG = C2/m (12); formation energy = -16.594 eV/f.u.
1.0
4.3534 0.0000 0.0000
0.0000 8.7290 0.2615
-2.1767 -2.5701 9.1701
Ca Ac Pm As
1 2 3 6
Direct
0.5000 0.0000 0.0000
0.8361 0.6726 0.6721
0.1639 0.3274 0.3279
0.5000 0.5000 0.0000
0.8336 0.1656 0.6672
0.1664 0.8344 0.3328
0.3319 0.9284 0.6638
0.6637 0.5916 0.3274
0.6681 0.0716 0.3362
0.9952 0.2544 0.9905
0.0048 0.7456 0.0095
0.3363 0.4084 0.6726